Lu4Sc2Zn3N3 | PBE-GGA | optimized geometry

```
Lu4Sc2Zn3N3
1.0
5.0064 -2.8816 0.0000
5.0064 2.8816 0.0000
-3.2950 0.0000 14.2390
Lu Sc Zn N
8 4 6 6
Direct
0.0345 0.1962 0.0975
0.1298 0.3024 0.4026
0.1962 0.0345 0.5975
0.3024 0.1298 0.9026
0.6976 0.8702 0.0974
0.8038 0.9655 0.4025
0.8702 0.6976 0.5974
0.9655 0.8038 0.9025
0.3545 0.5266 0.0785
0.4734 0.6455 0.4215
0.5266 0.3545 0.5785
0.6455 0.4734 0.9215
0.1413 0.8587 0.2500
0.3196 0.4077 0.7498
0.4077 0.3196 0.2498
0.5923 0.6804 0.7502
0.6804 0.5923 0.2502
0.8587 0.1413 0.7500
0.0000 0.5000 0.0000
0.1648 0.6679 0.5000
0.3321 0.8352 0.0000
0.5000 0.0000 0.5000
0.6679 0.1648 0.0000
0.8352 0.3321 0.5000
```

Calculated values
The calculation puts the spin magnetization at 0.042 μB/atom. As for the space-group type: C2/c, No. 15. The calculation puts the energy at -142.71 eV/cell.

Lu4SiN3 | PBE-GGA | optimized geometry

```
Lu4SiN3
1.0
3.3654 0.0000 0.0000
-1.6827 2.9145 0.0000
0.0000 0.0000 24.7885
Lu Si N
8 2 6
Direct
0.0000 0.0000 0.1618
0.0000 0.0000 0.3382
0.0000 0.0000 0.6618
0.0000 0.0000 0.8382
0.3333 0.6667 0.0539
0.3333 0.6667 0.4461
0.6667 0.3333 0.5539
0.6667 0.3333 0.9461
0.3333 0.6667 0.2500
0.6667 0.3333 0.7500
0.0000 0.0000 0.0000
0.0000 0.0000 0.5000
0.3333 0.6667 0.6121
0.3333 0.6667 0.8879
0.6667 0.3333 0.1121
0.6667 0.3333 0.3879
```

Calculated values
The calculation puts the spin magnetization at 0.000 μB/atom. As for the space-group type: P6_3/mmc, No. 194. The calculation puts the energy at -121.38 eV/cell.

> Look up the energy of the second one.

-121.38 eV/cell

> energy of number 2 (Lu4SiN3)?

-121.38 eV/cell